RbEr2Te3: optimized geometry, PBE.

```
RbEr2Te3
1.0
2.3158 -8.4789 0.0000
2.3158 8.4789 0.0000
0.0000 0.0000 11.8045
Rb Er Te
2 4 6
Direct
0.2440 0.7560 0.7500 Rb
0.7560 0.2440 0.2500 Rb
0.0360 0.9640 0.2500 Er
0.5000 0.5000 0.0000 Er
0.5000 0.5000 0.5000 Er
0.9640 0.0360 0.7500 Er
0.1245 0.8755 0.0413 Te
0.1245 0.8755 0.4587 Te
0.4312 0.5688 0.2500 Te
0.5688 0.4312 0.7500 Te
0.8755 0.1245 0.5413 Te
0.8755 0.1245 0.9587 Te
```

Results
* Fermi-level density of states: 0.589 states/eV/atom
* formation energy (no corrections): -1.19 eV per atom